# 1
A relaxed NdTlFeSe3 crystal. Source: the Open Quantum Materials Database, functional PBE.

a = 4.1917 Å, b = 14.8422 Å, c = 11.1601 Å
α = 90.00°, β = 90.00°, γ = 90.00°
Last column: nearest neighbours and their distance in Å.
Space group Cmcm (No. 63)
Unique sites:
Nd1 0.0000 0.0000 0.0000  6 Se 2.95-2.96
Tl1 0.0000 0.2465 0.2500  6 Se 3.35-3.47
Fe1 0.0000 0.4724 0.7500  4 Se 2.43-2.52
Se1 0.0000 0.0672 0.7500  2 Fe 2.52
Se2 0.0000 0.3723 0.5774  1 Fe 2.43

Summary:
As for the polymorph energy (0 for the lowest one): 0.00 eV per formula unit.



# 2
A relaxed NdTlFeSe3 crystal. Source: the Open Quantum Materials Database, functional PBE.

a = 11.5795 Å, b = 4.3327 Å, c = 12.5856 Å
α = 90.00°, β = 90.00°, γ = 90.00°
Last column: nearest neighbours and their distance in Å.
Space group Pnma (No. 62)
Unique sites:
Nd1 0.0201 0.2500 0.1728  7 Se 2.98-3.15
Tl1 0.1692 0.2500 0.5041  7 Se 3.25-3.43, 2 Fe 3.55
Fe1 0.2468 0.2500 0.7945  4 Se 2.41-2.49
Se1 0.0495 0.7500 0.3335  1 Fe 2.41
Se2 0.1107 0.2500 0.9425  1 Fe 2.44
Se3 0.2153 0.7500 0.7014  2 Fe 2.49

Summary:
As for the polymorph energy (0 for the lowest one): 0.10 eV per formula unit.



# 3
A relaxed Nd2Fe15Si2 crystal. Source: the Open Quantum Materials Database, functional PBE.

a = 8.3808 Å, b = 8.3808 Å, c = 12.5201 Å
α = 90.00°, β = 90.00°, γ = 120.00°
Last column: nearest neighbours and their distance in Å.
Space group R-3m (No. 166, hexagonal axes)
Unique sites:
Nd1 0.0000 0.0000 0.1542  18 Fe 3.02-3.30, 1 Si 3.07
Fe1 0.0000 0.2860 0.5000  8 Fe 2.40-2.68
Fe2 0.0000 0.5000 0.0000  8 Fe 2.41-2.43, 2 Si 2.56
Fe3 0.0039 0.5019 0.3409  8 Fe 2.41-2.68, 1 Si 2.56
Si1 0.0000 0.0000 0.3990  1 Si 2.53, 12 Fe 2.56-2.71



| no. | E (eV for the cell shown) |
| --- | --- |
| 1 | -125.78 |
| 2 | -125.40 |
| 3 | -437.03 |